Density functional theory data (GGA-PBE) for crystalline BaBeTlAu at its relaxed geometry.

Properties
As for the crystal system: cubic. The calculation puts the energy relative to the lowest polymorph listed for this composition at 73.4 meV per atom. As for the uncorrected energy: -2.617 eV/atom.

```
BaBeTlAu
1.0
-3.314 -0.800 4.062
-4.903 -1.813 -0.895
-1.302 -4.939 1.426
Ba Be Tl Au
1 1 1 1
Cartesian
-4.759 -3.776 2.297 Ba
0.000 0.000 0.000 Be
-2.380 -1.888 1.148 Tl
-7.139 -5.664 3.445 Au
```